VASP calculation (PBE) on a relaxed Cd2HgPb crystal.

abc: 3.5977 5.5463 10.5043
angles: 90.00 90.00 90.00
Positions (direct):
1 Cd 0.0000 0.0000 0.0000
2 Cd 0.0000 0.5000 0.2640
3 Cd 0.5000 0.0000 0.7640
4 Cd 0.5000 0.5000 0.5000
5 Hg 0.0000 0.5000 0.7386
6 Hg 0.5000 0.0000 0.2386
7 Pb 0.0000 0.0000 0.5023
8 Pb 0.5000 0.5000 0.0023

Computed properties:
total DFT energy (no corrections)	-1.41	eV/atom
E above lowest polymorph	0.015	eV/atom